# 1
Sm6Co2IrBr3, relaxed, DFT GGA-PBE; space group = C2/m (12); crystal system = monoclinic; formation energy without anion corrections = -0.853 eV per atom
1.0
6.939 -0.002 0.001
-3.470 6.009 0.001
-1.156 -2.001 7.720
Sm Co Ir Br
6 2 1 3
direct
0.936 0.593 0.808
0.721 0.721 0.192
0.064 0.407 0.192
0.593 0.936 0.808
0.279 0.279 0.808
0.407 0.064 0.192
0.333 0.667 0.000
0.667 0.333 0.000
0.000 0.000 0.000
0.167 0.833 0.500
0.833 0.167 0.500
0.500 0.500 0.500



# 2
SrAg4Br, relaxed, DFT GGA-PBE; space group = F-43m (216); crystal system = cubic; formation energy without anion corrections = -0.265 eV per atom
1.0
4.643 -3.171 -1.486
1.183 -4.933 2.843
-0.708 -5.127 -2.653
Sr Ag Br
1 4 1
direct
0.000 0.000 0.000
0.874 0.375 0.375
0.375 0.375 0.874
0.375 0.874 0.375
0.375 0.375 0.375
0.750 0.750 0.750



# 3
SrFe2CoHg, relaxed, DFT GGA-PBE; space group = P4/mmm (123); ΔH_f (0 K) = 2.074 eV/atom; crystal system = tetragonal
1.0
4.864 0.000 0.000
0.000 4.721 0.000
0.000 0.000 4.864
Sr Co Hg Fe
1 1 1 2
direct
0.000 0.000 0.000
0.000 0.500 0.000
0.500 0.500 0.500
0.000 0.000 0.500
0.500 0.000 0.000